[1]
A geometry-optimized K2RbNbBr8 structure, computed with PBE-GGA.

abc: 6.2874 8.1929 10.1201
angles: 89.56 89.63 71.09
Closest atoms and distances in Å follow each position.
Positions (direct):
K (0.0031, 0.0030, 0.2763)  4 Br 3.15-3.50
K (0.9969, 0.9970, 0.7237)  4 Br 3.15-3.50
Rb (0.0000, 0.5000, 0.5000)  6 Br 3.38-3.72
Nb (0.0000, 0.5000, 0.0000)  6 Br 2.55-2.56
Br (0.1838, 0.7369, 0.0014)  1 Nb 2.56
Br (0.2709, 0.3340, 0.1787)  1 Nb 2.55
Br (0.2735, 0.3395, 0.8210)  1 Nb 2.55
Br (0.3039, 0.7737, 0.5000)  2 K 3.15, 1 Rb 3.38
Br (0.6961, 0.2263, 0.5000)  2 K 3.15, 1 Rb 3.38
Br (0.7265, 0.6605, 0.1790)  1 Nb 2.55
Br (0.7291, 0.6660, 0.8213)  1 Nb 2.55
Br (0.8162, 0.2631, 0.9986)  1 Nb 2.56

Summary:
Space group: P-1, No. 2

***

[2]
A geometry-optimized KRbNbBr6 structure, computed with PBE-GGA.

abc: 7.9872 7.9872 13.4332
angles: 90.00 90.00 120.00
Closest atoms and distances in Å follow each position.
Positions (direct):
K (0.3333, 0.6667, 0.2500)  6 Br 3.32
K (0.6667, 0.3333, 0.7500)  6 Br 3.32
Rb (0.0000, 0.0000, 0.0000)  6 Br 3.52
Rb (0.0000, 0.0000, 0.5000)  6 Br 3.52
Nb (0.3333, 0.6667, 0.7500)  6 Br 2.60
Nb (0.6667, 0.3333, 0.2500)  6 Br 2.60
Br (0.0662, 0.4036, 0.6371)  1 Nb 2.60
Br (0.0662, 0.6626, 0.8629)  1 Nb 2.60
Br (0.3374, 0.4036, 0.8629)  1 Nb 2.60
Br (0.3374, 0.9338, 0.6371)  1 Nb 2.60
Br (0.4036, 0.0662, 0.1371)  1 Nb 2.60
Br (0.4036, 0.3374, 0.3629)  1 Nb 2.60
Br (0.5964, 0.6626, 0.6371)  1 Nb 2.60
Br (0.5964, 0.9338, 0.8629)  1 Nb 2.60
Br (0.6626, 0.0662, 0.3629)  1 Nb 2.60
Br (0.6626, 0.5964, 0.1371)  1 Nb 2.60
Br (0.9338, 0.3374, 0.1371)  1 Nb 2.60
Br (0.9338, 0.5964, 0.3629)  1 Nb 2.60

Summary:
Space group: P-31c, No. 163
D(E_F): 0.857 states/eV/atom

***

[3]
A geometry-optimized K3Nb6SBr17 structure, computed with PBE-GGA.

abc: 13.1868 13.1868 9.4816
angles: 91.35 91.35 92.76
Closest atoms and distances in Å follow each position.
Positions (direct):
K (0.0379, 0.9621, 0.7500)  6 Br 3.45-3.73
K (0.2175, 0.3073, 0.8321)  3 Br 3.29-3.49
K (0.3073, 0.2175, 0.3321)  3 Br 3.29-3.49
K (0.6927, 0.7825, 0.6679)  3 Br 3.29-3.49
K (0.7825, 0.6927, 0.1679)  3 Br 3.29-3.49
K (0.9621, 0.0379, 0.2500)  6 Br 3.45-3.73
Nb (0.1156, 0.7433, 0.3545)  1 S 2.38, 2 Br 2.59-2.62
Nb (0.2006, 0.5562, 0.2330)  1 S 2.38, 2 Br 2.62-2.64
Nb (0.2567, 0.8844, 0.1455)  1 S 2.38, 2 Br 2.59-2.62
Nb (0.3021, 0.6647, 0.4823)  1 S 2.38, 2 Br 2.63
Nb (0.3353, 0.6979, 0.0177)  1 S 2.38, 2 Br 2.63
Nb (0.4438, 0.7994, 0.2670)  1 S 2.38, 2 Br 2.62-2.64
Nb (0.5562, 0.2006, 0.7330)  1 S 2.38, 2 Br 2.62-2.64
Nb (0.6647, 0.3021, 0.9823)  1 S 2.38, 2 Br 2.63
Nb (0.6979, 0.3353, 0.5177)  1 S 2.38, 2 Br 2.63
Nb (0.7433, 0.1156, 0.8545)  1 S 2.38, 2 Br 2.59-2.62
Nb (0.7994, 0.4438, 0.7670)  1 S 2.38, 2 Br 2.62-2.64
Nb (0.8844, 0.2567, 0.6455)  1 S 2.38, 2 Br 2.59-2.62
S (0.2759, 0.7241, 0.2500)  6 Nb 2.38
S (0.7241, 0.2759, 0.7500)  6 Nb 2.38
Br (0.0117, 0.5710, 0.3091)  2 Nb 2.62
Br (0.0600, 0.8170, 0.0998)  2 Nb 2.72
Br (0.0690, 0.1835, 0.5654)  1 Nb 2.78
Br (0.1377, 0.7044, 0.6201)  2 Nb 2.59-2.63
Br (0.1441, 0.3602, 0.1538)  1 Nb 2.74
Br (0.1521, 0.6043, 0.9676)  2 Nb 2.68-2.69
Br (0.1830, 0.9400, 0.4002)  2 Nb 2.72
Br (0.1835, 0.0690, 0.0654)  1 Nb 2.78
Br (0.2461, 0.4708, 0.4741)  2 Nb 2.63-2.64
Br (0.2956, 0.8623, 0.8799)  2 Nb 2.59-2.63
Br (0.3602, 0.1441, 0.6538)  1 Nb 2.74
Br (0.3752, 0.5116, 0.1076)  2 Nb 2.69-2.70
Br (0.3818, 0.6182, 0.7500)  2 Nb 2.82
Br (0.3957, 0.8479, 0.5324)  2 Nb 2.68-2.69
Br (0.4290, 0.9883, 0.1909)  2 Nb 2.62
Br (0.4708, 0.2461, 0.9741)  2 Nb 2.63-2.64
Br (0.4884, 0.6248, 0.3924)  2 Nb 2.69-2.70
Br (0.5116, 0.3752, 0.6076)  2 Nb 2.69-2.70
Br (0.5292, 0.7539, 0.0259)  2 Nb 2.63-2.64
Br (0.5710, 0.0117, 0.8091)  2 Nb 2.62
Br (0.6043, 0.1521, 0.4676)  2 Nb 2.68-2.69
Br (0.6182, 0.3818, 0.2500)  2 Nb 2.82
Br (0.6248, 0.4884, 0.8924)  2 Nb 2.69-2.70
Br (0.6398, 0.8559, 0.3462)  1 Nb 2.74
Br (0.7044, 0.1377, 0.1201)  2 Nb 2.59-2.63
Br (0.7539, 0.5292, 0.5259)  2 Nb 2.63-2.64
Br (0.8165, 0.9310, 0.9346)  1 Nb 2.78
Br (0.8170, 0.0600, 0.5998)  2 Nb 2.72
Br (0.8479, 0.3957, 0.0324)  2 Nb 2.68-2.69
Br (0.8559, 0.6398, 0.8462)  1 Nb 2.74
Br (0.8623, 0.2956, 0.3799)  2 Nb 2.59-2.63
Br (0.9310, 0.8165, 0.4346)  1 Nb 2.78
Br (0.9400, 0.1830, 0.9002)  2 Nb 2.72
Br (0.9883, 0.4290, 0.6909)  2 Nb 2.62

Summary:
Space group: C2/c, No. 15

***

[4]
A geometry-optimized KNbSb2Br structure, computed with PBE-GGA.

abc: 5.9034 5.9034 4.8472
angles: 90.00 90.00 90.00
Closest atoms and distances in Å follow each position.
Positions (direct):
K (0.0000, 0.0000, 0.0000)  8 Sb 3.82, 4 Nb 4.17
Nb (0.5000, 0.5000, 0.0000)  2 Br 2.42
Sb (0.0000, 0.5000, 0.5000)  2 Br 2.95
Sb (0.5000, 0.0000, 0.5000)  2 Br 2.95
Br (0.5000, 0.5000, 0.5000)  2 Nb 2.42

Summary:
Space group: P4/mmm, No. 123
D(E_F): 0.853 states/eV/atom

***

[5]
A geometry-optimized KSrNbBr2 structure, computed with PBE-GGA.

abc: 5.7487 5.7487 6.8952
angles: 90.00 90.00 90.00
Closest atoms and distances in Å follow each position.
Positions (direct):
K (0.0000, 0.0000, 0.0000)  4 Br 2.87
Sr (0.0000, 0.0000, 0.5000)  2 K 3.45
Nb (0.5000, 0.5000, 0.5000)  4 Sr 4.06, 8 Br 4.49
Br (0.0000, 0.5000, 0.0000)  2 K 2.87
Br (0.5000, 0.0000, 0.0000)  2 K 2.87

Summary:
Space group: P4/mmm, No. 123
D(E_F): 0.833 states/eV/atom

***

[6]
A geometry-optimized KTi2NbBr structure, computed with PBE-GGA.

abc: 4.7984 4.7984 5.4938
angles: 90.00 90.00 90.00
Closest atoms and distances in Å follow each position.
Positions (direct):
K (0.0000, 0.0000, 0.0000)  2 Br 2.75
Ti (0.0000, 0.5000, 0.5000)  2 Br 2.40
Ti (0.5000, 0.0000, 0.5000)  2 Br 2.40
Nb (0.5000, 0.5000, 0.0000)  4 K 3.39, 8 Ti 3.65
Br (0.0000, 0.0000, 0.5000)  4 Ti 2.40

Summary:
Space group: P4/mmm, No. 123
D(E_F): 1.042 states/eV/atom

***

Table of uncorrected energy (eV per atom), in record order: -3.46; -3.71; -4.69; -3.45; -2.76; -4.60